1.
The following is a GGA-PBE calculation of crystalline Tl2CdC2O6 at its relaxed geometry, from Alexandria via LeMat-Bulk.

Geometry as POSCAR:
```
Tl2CdC2O6
1.0
5.373 0.000 0.000
-2.687 4.650 -0.148
0.000 -2.862 7.147
Tl Cd C O
2 1 2 6
Direct
0.714 0.428 0.143
0.286 0.572 0.857
0.500 0.000 0.500
0.901 0.802 0.700
0.099 0.198 0.300
0.763 0.525 0.704
0.237 0.054 0.294
0.183 0.946 0.706
0.763 0.946 0.706
0.817 0.054 0.294
0.237 0.475 0.296
```

Output
**Raw formation energy**: -1207 meV per atom
**SG**: C2/m, No. 12


2.
The following is a GGA-PBE calculation of crystalline BaAgClF2 at its relaxed geometry, from Alexandria via LeMat-Bulk.

Geometry as POSCAR:
```
BaAgClF2
1.0
-3.398 2.368 -1.017
0.551 -5.100 -4.772
-4.375 -4.451 4.252
Ba Ag Cl F
2 2 2 4
Direct
0.779 0.557 0.250
0.221 0.443 0.750
0.500 0.000 0.500
0.500 0.000 0.000
0.967 0.934 0.750
0.033 0.066 0.250
0.321 0.643 0.053
0.679 0.357 0.553
0.321 0.643 0.447
0.679 0.357 0.947
```

Output
**Raw formation energy**: -2417 meV per atom
**SG**: Cmcm, No. 63


3.
The following is a GGA-PBE calculation of crystalline AuN at its relaxed geometry, from Alexandria via LeMat-Bulk.

Geometry as POSCAR:
```
AuN
1.0
-2.291 1.898 -1.377
-0.723 -3.079 0.861
-1.784 2.030 5.764
Au N
2 2
Direct
0.333 0.667 0.706
0.667 0.333 0.206
0.333 0.667 0.376
0.667 0.333 0.876
```

Output
**Energy above the most stable polymorph in this dataset**: 385.9 meV/atom
**Raw formation energy**: 1690 meV per atom
**SG**: P6_3mc, No. 186


Calculated values (eV/atom) of calculated total energy for the records, taken in order: -6.102, -4.489, -4.112.
Calculated values (μB per cell) of total magnetic moment for the records, taken in order: 0.0, 0.0, 0.0.